Entry 1:
CaLaCu | Alexandria | GGA-PBE | optimized geometry; M_tot = 0.00 μB per cell; formation energy from the elements = 0.4 eV/f.u.; energy above the most stable polymorph in this dataset = 0.71 eV/f.u.; DFT total energy = -3.54 eV per atom; density of states at the Fermi level = 2.709 states/eV/cell
1.0
4.907 0.000 0.000
-2.453 4.249 0.000
0.000 0.000 4.155
Ca La Cu
1 1 1
direct
0.000 0.000 0.000
0.333 0.667 0.520
0.667 0.333 0.228

=====

Entry 2:
CaLa2Cu2 | Alexandria | GGA-PBE | optimized geometry; M_tot = 0.00 μB per cell; formation energy from the elements = 0.7 eV/f.u.; energy above the most stable polymorph in this dataset = 1.25 eV/f.u.; DFT total energy = -3.87 eV per atom; density of states at the Fermi level = 4.958 states/eV/cell
1.0
-2.608 2.608 5.407
2.608 -2.608 5.407
2.608 2.608 -5.407
Ca La Cu
1 2 2
direct
0.000 0.000 0.000
0.359 0.359 0.000
0.641 0.641 0.000
0.250 0.750 0.500
0.750 0.250 0.500

=====

Entry 3:
Ca2LaCu | Alexandria | GGA-PBE | optimized geometry; M_tot = 0.00 μB per cell; formation energy from the elements = -0.1 eV/f.u.; energy above the most stable polymorph in this dataset = 0.00 eV/f.u.; DFT total energy = -3.29 eV per atom; density of states at the Fermi level = 5.680 states/eV/cell
1.0
3.655 0.000 0.000
0.000 3.655 0.000
0.000 0.000 9.630
Ca La Cu
2 1 1
direct
0.000 0.000 0.000
0.500 0.500 0.319
0.500 0.500 0.682
0.000 0.000 0.506

=====

Entry 4:
CaLaCu2 | Alexandria | GGA-PBE | optimized geometry; M_tot = 0.00 μB per cell; formation energy from the elements = -0.6 eV/f.u.; DFT total energy = -3.93 eV per atom; density of states at the Fermi level = 3.027 states/eV/cell
1.0
4.444 0.000 0.000
0.000 2.026 5.480
0.000 -2.026 5.480
Ca La Cu
1 1 2
direct
0.000 0.000 0.000
0.500 0.279 0.279
0.000 0.705 0.705
0.500 0.575 0.575